DFT (PBE-GGA) results for a geometry-optimized TbCeH2 structure.

Cell: 3.422 3.422 18.312 Å, 90.00 90.00 120.00°
Element x y z (fractional)
Tb (0.000, 0.000, 0.000)
Tb (0.333, 0.667, 0.667)
Tb (0.667, 0.333, 0.333)
Ce (0.000, 0.000, 0.175)
Ce (0.333, 0.667, 0.842)
Ce (0.667, 0.333, 0.509)
H (0.000, 0.000, 0.410)
H (0.000, 0.000, 0.593)
H (0.333, 0.667, 0.077)
H (0.333, 0.667, 0.259)
H (0.667, 0.333, 0.743)
H (0.667, 0.333, 0.926)

Properties
Magnetic moment, Bohr magnetons per cell: 2.72
E, Ry/atom: -0.338